Mn4CoRu | GGA-PBE | optimized geometry Values from VASP.

## Properties
ΔH_f (0 K) = 57.2 meV/atom
E above lowest polymorph = 0.000 eV per atom
Calculated volume = 67 Å³/cell
DOS at the Fermi energy = 7.480 states/eV/cell

Cell and atoms, written as Quantum ESPRESSO input:
```
&SYSTEM
  ibrav = 0, nat = 6, ntyp = 3
/
ATOMIC_SPECIES
Mn 54.94 Mn.upf
Co 58.93 Co.upf
Ru 101.07 Ru.upf
CELL_PARAMETERS angstrom
4.377 0.000 0.000
0.000 2.540 0.000
-1.450 0.000 6.070
ATOMIC_POSITIONS crystal
Mn 0.216 0.000 0.155
Mn 0.278 0.500 0.841
Mn 0.722 0.500 0.159
Mn 0.784 0.000 0.845
Co 0.000 0.000 0.500
Ru 0.500 0.500 0.500
```